{
  "formula": "CeMnIrO6",
  "functional": "PBE+U",
  "state": "relaxed",
  "lattice": [[5.464, 0.000, 0.000], [-2.732, 4.732, 0.000], [0.000, 0.000, 8.906]],
  "species": ["Ce", "Ce", "Mn", "Mn", "Ir", "Ir", "O", "O", "O", "O", "O", "O", "O", "O", "O", "O", "O", "O"],
  "fractional_positions": [[0.333, 0.667, 0.250], [0.667, 0.333, 0.750], [0.000, 0.000, 0.000], [0.000, 0.000, 0.500], [0.333, 0.667, 0.750], [0.667, 0.333, 0.250], [0.039, 0.362, 0.627], [0.039, 0.678, 0.873], [0.322, 0.362, 0.873], [0.322, 0.961, 0.627], [0.362, 0.039, 0.127], [0.362, 0.322, 0.373], [0.638, 0.678, 0.627], [0.638, 0.961, 0.873], [0.678, 0.039, 0.373], [0.678, 0.638, 0.127], [0.961, 0.322, 0.127], [0.961, 0.638, 0.373]],
  "space_group": "P-31c (163)",
  "energy_ev_per_cell": -134.70
}